Entry 1:
Computed, not measured: a relaxed structure of TbEr2Te4 at the GGA-PBE level of DFT.

Properties
* calculated density: 7.09 g/cm3
* DOS at the Fermi energy: 3.13 states/eV/f.u.

Cell and atoms, written as POSCAR:
```
TbEr2Te4
1.0
4.172 0.000 -1.141
-0.694 7.051 -2.539
0.050 -1.039 8.381
Tb Er Te
1 2 4
direct
0.000 0.000 0.000
0.255 0.241 0.510
0.745 0.759 0.490
0.122 0.788 0.244
0.878 0.212 0.756
0.369 0.706 0.739
0.631 0.294 0.261
```



Entry 2:
Computed, not measured: a relaxed structure of Tb3ErTe4 at the GGA-PBE level of DFT.

Properties
* calculated density: 8.19 g/cm3
* DOS at the Fermi energy: 4.93 states/eV/f.u.

Cell and atoms, written as POSCAR:
```
Tb3ErTe4
1.0
-2.840 3.213 -0.304
0.071 -0.652 -7.554
-5.412 -4.520 2.788
Tb Er Te
3 1 4
direct
0.000 0.000 0.500
0.500 0.500 0.500
0.000 0.500 0.000
0.500 0.000 0.000
0.000 0.247 0.247
0.500 0.752 0.248
0.000 0.753 0.753
0.500 0.248 0.752
```



Entry 3:
Computed, not measured: a relaxed structure of Tb4ErTe7 at the GGA-PBE level of DFT.

Properties
* calculated density: 7.26 g/cm3
* DOS at the Fermi energy: 2.60 states/eV/f.u.

Cell and atoms, written as POSCAR:
```
Tb4ErTe7
1.0
4.243 0.000 0.000
-2.122 6.922 -1.812
0.000 0.106 13.181
Tb Er Te
4 1 7
direct
0.701 0.402 0.813
0.299 0.598 0.188
0.000 0.000 0.999
0.115 0.230 0.424
0.885 0.769 0.576
0.744 0.487 0.352
0.259 0.519 0.649
0.339 0.678 0.952
0.661 0.322 0.048
0.037 0.074 0.782
0.963 0.925 0.216
0.498 0.997 0.501
```



Entry 4:
Computed, not measured: a relaxed structure of Tb3ErTe3 at the GGA-PBE level of DFT.

Properties
* calculated density: 8.28 g/cm3
* DOS at the Fermi energy: 6.21 states/eV/f.u.

Cell and atoms, written as POSCAR:
```
Tb3ErTe3
1.0
-8.786 -1.690 0.377
-4.548 -1.758 -7.512
-3.303 -6.934 -1.715
Tb Er Te
6 2 6
direct
0.156 0.666 0.255
0.922 0.156 0.255
0.666 0.922 0.255
0.334 0.078 0.745
0.078 0.844 0.745
0.844 0.334 0.745
0.312 0.312 0.063
0.688 0.688 0.937
0.465 0.678 0.756
0.678 0.101 0.756
0.101 0.465 0.756
0.899 0.535 0.244
0.322 0.899 0.244
0.535 0.322 0.244
```



Entry 5:
Computed, not measured: a relaxed structure of Tb2Er2Te5 at the GGA-PBE level of DFT.

Properties
* calculated density: 6.27 g/cm3
* DOS at the Fermi energy: 4.15 states/eV/f.u.

Cell and atoms, written as POSCAR:
```
Tb2Er2Te5
1.0
-3.724 0.272 -4.764
-1.163 -8.658 4.260
-4.383 2.342 3.560
Tb Er Te
2 2 5
direct
0.157 0.313 0.000
0.843 0.687 0.000
0.315 0.630 0.500
0.685 0.370 0.500
0.332 0.664 0.000
0.668 0.336 0.000
0.153 0.306 0.500
0.847 0.694 0.500
0.000 0.000 0.000
```



Entry 6:
Computed, not measured: a relaxed structure of TbEr2Te at the GGA-PBE level of DFT.

Properties
* calculated density: 8.90 g/cm3
* DOS at the Fermi energy: 4.77 states/eV/f.u.

Cell and atoms, written as POSCAR:
```
TbEr2Te
1.0
-3.206 -2.040 0.485
0.961 -0.641 3.653
-3.841 6.549 2.160
Te Tb Er
1 1 2
direct
0.500 0.500 0.000
0.500 0.500 0.500
0.000 0.000 0.775
0.000 0.000 0.225
```



Entry 7:
Computed, not measured: a relaxed structure of TbEr3Te6 at the GGA-PBE level of DFT.

Properties
* calculated density: 7.34 g/cm3

Cell and atoms, written as POSCAR:
```
TbEr3Te6
1.0
4.328 0.000 0.000
0.000 11.719 -4.089
0.000 -0.038 12.729
Tb Er Te
2 6 12
direct
0.750 0.045 0.695
0.250 0.955 0.305
0.750 0.432 0.834
0.250 0.568 0.166
0.750 0.684 0.502
0.250 0.316 0.498
0.750 0.156 0.080
0.250 0.844 0.920
0.750 0.483 0.618
0.250 0.517 0.382
0.750 0.916 0.100
0.250 0.084 0.900
0.750 0.393 0.061
0.250 0.607 0.939
0.750 0.747 0.280
0.250 0.253 0.720
0.750 0.111 0.467
0.250 0.889 0.533
0.750 0.808 0.750
0.250 0.192 0.250
```



Entry 8:
Computed, not measured: a relaxed structure of Tb5ErTe4 at the GGA-PBE level of DFT.

Properties
* calculated density: 7.74 g/cm3
* DOS at the Fermi energy: 8.38 states/eV/f.u.

Cell and atoms, written as POSCAR:
```
Tb5ErTe4
1.0
4.150 0.000 0.000
0.000 8.520 0.152
-2.075 -2.086 8.893
Tb Er Te
5 1 4
direct
0.187 0.360 0.374
0.165 0.788 0.329
0.835 0.212 0.671
0.500 0.500 0.000
0.813 0.640 0.626
0.500 0.000 0.000
0.667 0.067 0.334
0.011 0.252 0.021
0.333 0.933 0.666
0.989 0.748 0.979
```



Entry 9:
Computed, not measured: a relaxed structure of TbEr2Te at the GGA-PBE level of DFT.

Properties
* calculated density: 7.78 g/cm3
* DOS at the Fermi energy: 5.29 states/eV/f.u.

Cell and atoms, written as POSCAR:
```
TbEr2Te
1.0
-3.060 -1.551 1.566
-0.279 -3.750 0.281
3.639 -1.398 10.269
Te Tb Er
1 1 2
direct
0.500 0.500 0.500
0.000 0.000 0.000
0.103 0.103 0.692
0.897 0.897 0.308
```



Entry 10:
Computed, not measured: a relaxed structure of TbEr2Te at the GGA-PBE level of DFT.

Properties
* calculated density: 8.26 g/cm3
* DOS at the Fermi energy: 4.64 states/eV/f.u.

Cell and atoms, written as POSCAR:
```
TbEr2Te
1.0
3.849 0.000 0.000
1.924 3.333 0.000
1.924 1.111 9.738
Tb Er Te
1 2 1
direct
0.500 0.500 0.501
0.073 0.073 0.782
0.261 0.261 0.217
0.667 0.667 0.000
```



Entry 11:
Computed, not measured: a relaxed structure of TbErTe at the GGA-PBE level of DFT.

Properties
* calculated density: 8.30 g/cm3
* DOS at the Fermi energy: 3.43 states/eV/f.u.

Cell and atoms, written as POSCAR:
```
TbErTe
1.0
-1.643 2.602 2.537
-4.656 -8.387 5.587
7.649 -1.447 3.303
Tb Er Te
4 4 4
direct
0.978 0.648 0.955
0.617 0.834 0.234
0.383 0.166 0.766
0.022 0.352 0.045
0.748 0.332 0.496
0.189 0.077 0.379
0.252 0.668 0.504
0.811 0.923 0.621
0.618 0.539 0.235
0.429 0.838 0.858
0.382 0.461 0.765
0.571 0.162 0.142
```



Entry 12:
Computed, not measured: a relaxed structure of TbErTe at the GGA-PBE level of DFT.

Properties
* calculated density: 8.79 g/cm3
* DOS at the Fermi energy: 1.91 states/eV/f.u.

Cell and atoms, written as POSCAR:
```
TbErTe
1.0
-0.534 -1.006 3.682
-3.381 -1.601 -0.927
4.610 -3.725 -2.367
Te Tb Er
1 1 1
direct
0.669 0.669 0.338
0.009 0.009 0.019
0.322 0.322 0.643
```



Entry 13:
Computed, not measured: a relaxed structure of TbEr3Te2 at the GGA-PBE level of DFT.

Properties
* calculated density: 8.81 g/cm3
* DOS at the Fermi energy: 7.08 states/eV/f.u.

Cell and atoms, written as POSCAR:
```
TbEr3Te2
1.0
3.900 0.000 0.000
-1.950 10.916 -1.125
0.000 -5.961 8.722
Tb Er Te
2 6 4
direct
0.890 0.780 0.878
0.110 0.220 0.122
0.311 0.621 0.494
0.951 0.901 0.556
0.633 0.266 0.801
0.367 0.734 0.199
0.049 0.099 0.444
0.689 0.379 0.506
0.492 0.983 0.827
0.508 0.017 0.173
0.746 0.493 0.190
0.254 0.507 0.810
```



Entry 14:
Computed, not measured: a relaxed structure of Tb2Er3Te8 at the GGA-PBE level of DFT.

Properties
* calculated density: 6.52 g/cm3
* DOS at the Fermi energy: 5.85 states/eV/f.u.

Cell and atoms, written as POSCAR:
```
Tb2Er3Te8
1.0
-3.324 -6.231 2.436
5.288 -4.753 -4.944
3.183 4.007 7.137
Tb Er Te
2 3 8
direct
0.331 0.251 0.502
0.669 0.749 0.498
0.500 0.000 0.000
0.000 0.257 0.000
0.000 0.743 0.000
0.903 0.618 0.235
0.097 0.382 0.765
0.914 0.120 0.240
0.086 0.880 0.760
0.588 0.631 0.759
0.588 0.127 0.759
0.412 0.873 0.241
0.412 0.369 0.241
```



Entry 15:
Computed, not measured: a relaxed structure of Tb2Er2Te7 at the GGA-PBE level of DFT.

Properties
* calculated density: 7.81 g/cm3
* DOS at the Fermi energy: 5.24 states/eV/f.u.

Cell and atoms, written as POSCAR:
```
Tb2Er2Te7
1.0
-4.174 0.625 -0.032
-3.446 -8.832 -1.237
-2.916 -4.830 7.719
Tb Er Te
2 2 7
direct
0.742 0.855 0.660
0.258 0.340 0.145
0.000 0.770 0.230
0.500 0.324 0.676
0.824 0.073 0.279
0.858 0.426 0.858
0.500 0.004 0.996
0.609 0.491 0.292
0.391 0.708 0.509
0.176 0.721 0.927
0.142 0.142 0.574
```



Entry 16:
Computed, not measured: a relaxed structure of TbEr8Te2 at the GGA-PBE level of DFT.

Properties
* calculated density: 8.11 g/cm3
* DOS at the Fermi energy: 11.58 states/eV/f.u.

Cell and atoms, written as POSCAR:
```
TbEr8Te2
1.0
-1.841 5.317 0.561
-5.424 0.071 -6.651
-8.293 -1.765 1.332
Tb Er Te
1 8 2
direct
0.000 0.000 0.000
0.227 0.394 0.765
0.773 0.235 0.606
0.120 0.784 0.784
0.880 0.216 0.216
0.227 0.765 0.394
0.773 0.606 0.235
0.707 0.644 0.644
0.293 0.356 0.356
0.573 0.868 0.868
0.427 0.132 0.132
```



Entry 17:
Computed, not measured: a relaxed structure of TbEr2Te4 at the GGA-PBE level of DFT.

Properties
* calculated density: 7.46 g/cm3
* DOS at the Fermi energy: 2.98 states/eV/f.u.

Cell and atoms, written as POSCAR:
```
TbEr2Te4
1.0
4.228 0.000 0.000
-2.114 7.114 0.000
0.000 0.000 14.860
Tb Er Te
2 4 8
direct
0.628 0.256 0.750
0.372 0.744 0.250
0.131 0.262 0.431
0.869 0.738 0.931
0.131 0.262 0.069
0.869 0.738 0.569
0.778 0.556 0.121
0.778 0.556 0.379
0.222 0.444 0.879
0.222 0.444 0.621
0.967 0.935 0.750
0.033 0.065 0.250
0.500 0.000 0.000
0.500 0.000 0.500
```



Entry 18:
Computed, not measured: a relaxed structure of TbEr3Tl3Te8 at the GGA-PBE level of DFT.

Properties
* calculated density: 7.03 g/cm3
* DOS at the Fermi energy: 5.67 states/eV/f.u.

Cell and atoms, written as POSCAR:
```
TbEr3Tl3Te8
1.0
-2.965 3.524 7.425
2.247 -8.454 -0.231
7.138 6.444 -0.208
Tb Er Tl Te
1 3 3 8
direct
0.000 0.000 0.500
0.500 0.000 0.500
0.500 0.500 0.500
0.000 0.500 0.500
0.000 0.000 0.000
0.000 0.500 0.000
0.500 0.500 0.000
0.262 0.524 0.286
0.738 0.476 0.714
0.759 0.518 0.285
0.241 0.482 0.715
0.759 0.026 0.285
0.241 0.974 0.715
0.267 0.026 0.285
0.733 0.974 0.715
```



Entry 19:
Computed, not measured: a relaxed structure of Tb3ErTl4Te8 at the GGA-PBE level of DFT.

Properties
* calculated density: 7.32 g/cm3

Cell and atoms, written as POSCAR:
```
Tb3ErTl4Te8
1.0
8.909 0.000 0.000
0.000 9.659 0.523
-4.455 -4.451 6.302
Tb Er Tl Te
3 1 4 8
direct
0.500 0.500 0.000
0.500 0.500 0.500
0.000 0.500 0.500
0.000 0.500 0.000
0.500 0.000 0.000
0.500 0.000 0.500
0.000 0.000 0.000
0.000 0.000 0.500
0.236 0.713 0.977
0.236 0.713 0.473
0.262 0.285 0.524
0.740 0.713 0.977
0.260 0.287 0.023
0.738 0.715 0.476
0.764 0.287 0.527
0.764 0.287 0.023
```



Entry 20:
Computed, not measured: a relaxed structure of Tb3ErTl3Te8 at the GGA-PBE level of DFT.

Properties
* calculated density: 6.88 g/cm3
* DOS at the Fermi energy: 5.82 states/eV/f.u.

Cell and atoms, written as POSCAR:
```
Tb3ErTl3Te8
1.0
8.794 -0.001 -0.001
-4.398 7.629 -0.033
0.000 -5.057 8.214
Tb Er Tl Te
3 1 3 8
direct
0.500 0.000 0.500
0.500 0.500 0.500
0.000 0.500 0.500
0.000 0.000 0.500
0.000 0.000 0.000
0.000 0.500 0.000
0.500 0.500 0.000
0.261 0.522 0.283
0.739 0.478 0.717
0.763 0.525 0.285
0.237 0.475 0.715
0.763 0.023 0.285
0.237 0.977 0.715
0.260 0.023 0.285
0.740 0.977 0.715
```



Entry 21:
Computed, not measured: a relaxed structure of Tb3ErTm2Te6 at the GGA-PBE level of DFT.

Properties
* calculated density: 8.38 g/cm3
* DOS at the Fermi energy: 6.16 states/eV/f.u.

Cell and atoms, written as POSCAR:
```
Tb3ErTm2Te6
1.0
-1.518 3.954 0.822
-1.462 -2.286 8.298
9.619 1.416 -0.363
Tb Er Tm Te
3 1 2 6
direct
0.500 0.500 0.000
0.834 0.168 0.669
0.166 0.832 0.331
0.500 0.000 0.000
0.834 0.668 0.668
0.166 0.332 0.332
0.334 0.913 0.668
0.668 0.579 0.337
0.666 0.087 0.332
0.002 0.248 0.003
0.998 0.752 0.997
0.332 0.421 0.663
```



Summary of formation energy without anion corrections in eV/atom
-1.369 -1.284 -1.377 -1.007 -1.173 -0.537 -1.360 -0.921 -0.180 -0.514 -0.725 -0.771 -0.762 -1.252 -1.192 -0.107 -1.327 -1.044 -1.054 -1.054 -1.247
(order as listed above)